14
Lattice="3.739 -3.801 0.000 3.739 3.801 0.000 -3.681 0.000 6.501" Properties=species:S:1:pos:R:3 comment="PBE with a Hubbard U PWO5, relaxed" dft_energy_ev_per_atom=-7.487 polymorph_energy_ev_per_atom=0.008 pbc="T T T"
P 0.979 2.830 4.876
P 2.819 -2.830 1.625
W 3.739 0.000 0.000
W 1.899 0.000 3.251
O 0.132 0.038 2.254
O -1.708 -0.038 5.504
O 0.328 1.938 5.958
O 1.629 1.938 3.793
O 2.819 0.484 1.625
O 0.979 -0.484 4.876
O 2.168 -1.938 2.708
O 3.470 -1.938 0.543
O 5.506 0.038 0.997
O 3.665 -0.038 4.247